Density functional theory data (PBE) for an optimized crystal structure of IrRu.

Computed properties:
Offset from the most stable computed form   0.038 eV/atom
Formation energy   -0.017 eV/atom
Final energy   -0.668 Ry per atom
D(E_F)   0.978 states/eV per atom

a = 3.8453 Å, b = 3.8453 Å, c = 7.6825 Å
α = 90.00°, β = 90.00°, γ = 90.00°
With the nearest neighbours (Å) after each atom.
Space group I4_1/amd (No. 141, origin choice 2)
Inequivalent atoms, fractional coordinates:
Ir 0.0000 0.2500 0.3750 x4  8 Ru 2.72, 4 Ir 2.72
Ru 0.0000 0.2500 0.8750 x4  4 Ru 2.72, 8 Ir 2.72

***

Density functional theory data (PBE) for an optimized crystal structure of TlFe2W.

Computed properties:
Offset from the most stable computed form   0.190 eV/atom
Formation energy   0.627 eV/atom
Final energy   -0.546 Ry per atom
D(E_F)   0.970 states/eV per atom

a = 2.9999 Å, b = 4.4916 Å, c = 9.0687 Å
α = 90.00°, β = 90.00°, γ = 90.00°
With the nearest neighbours (Å) after each atom.
Space group Imm2 (No. 44)
Inequivalent atoms, fractional coordinates:
Tl 0.0000 0.0000 0.0000 x2  6 Fe 2.71-2.79, 4 W 2.94-3.01, 2 Tl 3.00
Fe 0.0000 0.0000 0.5265 x2  2 Fe 2.46, 2 W 2.70, 4 Tl 2.71
Fe 0.0000 0.5000 0.2409 x2  2 Fe 2.46, 4 W 2.72
W 0.0000 0.5000 0.7791 x2  6 Fe 2.70-2.72, 4 Tl 2.94-3.01, 2 W 3.00

***

Density functional theory data (PBE) for an optimized crystal structure of Er3Mg2Cd2.

Computed properties:
Formation energy   -0.130 eV/atom
Final energy   -0.206 Ry per atom
D(E_F)   1.068 states/eV per atom

a = 5.0012 Å, b = 5.9569 Å, c = 6.6516 Å
α = 87.45°, β = 89.92°, γ = 65.23°
With the nearest neighbours (Å) after each atom.
Space group P-1 (No. 2)
Inequivalent atoms, fractional coordinates:
Er 0.0000 0.0000 0.0000 x1  2 Cd 3.09, 4 Er 3.44, 2 Mg 3.46
Er 0.3923 0.2149 0.3010 x2  3 Cd 3.08-3.09, 4 Mg 3.31-3.42, 3 Er 3.44
Mg 0.3028 0.3935 0.8172 x2  3 Cd 3.11-3.16, 6 Er 3.31-3.47
Cd 0.1235 0.7548 0.4295 x2  1 Cd 2.86, 4 Er 3.08-3.09, 3 Mg 3.11-3.16

***

Density functional theory data (PBE) for an optimized crystal structure of RbSbAsBr2.

Computed properties:
Offset from the most stable computed form   1.011 eV/atom
E_form (uncorrected)   0.5518 eV per atom
Final energy   -0.152 Ry per atom
D(E_F)   1.459 states/eV per atom

a = 6.2505 Å, b = 6.2505 Å, c = 6.5387 Å
α = 90.00°, β = 90.00°, γ = 90.00°
With the nearest neighbours (Å) after each atom.
Space group P4/mmm (No. 123)
Inequivalent atoms, fractional coordinates:
Rb 0.0000 0.0000 0.0000 x1  4 Br 3.13, 2 As 3.27
Sb 0.5000 0.5000 0.5000 x1  4 As 4.42, 8 Br 4.52
As 0.0000 0.0000 0.5000 x1  2 Rb 3.27
Br 0.0000 0.5000 0.0000 x2  2 Rb 3.13

***

Density functional theory data (PBE) for an optimized crystal structure of Ni2HPt.

Computed properties:
Offset from the most stable computed form   0.607 eV/atom
Final energy   -0.344 Ry per atom
D(E_F)   0.967 states/eV per atom

a = 5.7006 Å, b = 5.7006 Å, c = 5.7006 Å
α = 90.00°, β = 90.00°, γ = 90.00°
With the nearest neighbours (Å) after each atom.
Space group Fm-3m (No. 225)
Inequivalent atoms, fractional coordinates:
Ni 0.2500 0.2500 0.2500 x8  4 H 2.47, 4 Pt 2.47
H 0.0000 0.0000 0.0000 x4  8 Ni 2.47
Pt 0.0000 0.0000 0.5000 x4  8 Ni 2.47

***

Density functional theory data (PBE) for an optimized crystal structure of Na3TaO4.

Computed properties:
E_form (uncorrected)   -2.2778 eV per atom
Final energy   -0.495 Ry per atom
D(E_F)   0.000 states/eV per atom

a = 7.3302 Å, b = 6.3228 Å, c = 5.6766 Å
α = 90.00°, β = 90.00°, γ = 90.00°
With the nearest neighbours (Å) after each atom.
Space group Pmn2_1 (No. 31)
Inequivalent atoms, fractional coordinates:
Na 0.0000 0.1648 0.0000 x2  4 O 2.33-2.37
Na 0.2455 0.3303 0.4995 x4  4 O 2.30-2.35
Ta 0.0000 0.8289 0.4879 x2  4 O 1.87-1.88
O 0.0000 0.1116 0.5892 x2  1 Ta 1.88
O 0.0000 0.8255 0.1590 x2  1 Ta 1.87
O 0.2112 0.6874 0.5902 x4  1 Ta 1.88